The following is a DFT calculation (GGA-PBE) of YHo2Ga6 after structural relaxation.

CIF file:
```
data_YHo2Ga6
_space_group_name_H-M_alt 'I m m m'
_space_group_IT_number 71
_space_group_name_Hall '-I 2 2'
_cell_length_a 4.296
_cell_length_b 6.960
_cell_length_c 13.320
_cell_angle_alpha 90.00
_cell_angle_beta 90.00
_cell_angle_gamma 90.00
loop_
_atom_site_label
_atom_site_type_symbol
_atom_site_fract_x
_atom_site_fract_y
_atom_site_fract_z
_atom_site_occupancy
Y1 Y 0.000 0.000 0.000 1
Ho1 Ho 0.000 0.500 0.125 1
Ga1 Ga 0.000 0.190 0.500 1
Ga2 Ga 0.000 0.307 0.315 1
```

Results
**DFT total energy**: -76.071 eV/cell
**E_form**: -0.473 eV/atom
**Relative energy among the computed polymorphs**: 159 meV/atom
**Size of the total moment**: 0.00 μB/atom

=====

The following is a DFT calculation (GGA-PBE) of Cd6GaHg6 after structural relaxation.

CIF file:
```
data_Cd6GaHg6
_space_group_name_H-M_alt 'P 6/m m m'
_space_group_IT_number 191
_space_group_name_Hall '-P 6 2'
_cell_length_a 6.0578
_cell_length_b 6.0578
_cell_length_c 10.1170
_cell_angle_alpha 90.00
_cell_angle_beta 90.00
_cell_angle_gamma 120.00
loop_
_atom_site_label
_atom_site_type_symbol
_atom_site_fract_x
_atom_site_fract_y
_atom_site_fract_z
_atom_site_occupancy
Cd1 Cd 0.0000 0.5000 0.2481 1
Ga1 Ga 0.0000 0.0000 0.0000 1
Hg1 Hg 0.0000 0.0000 0.3508 1
Hg2 Hg 0.3333 0.6667 0.0000 1
Hg3 Hg 0.3333 0.6667 0.5000 1
```

Results
**DFT total energy**: -9.462 eV/cell
**E_form**: 0.067 eV/atom
**Size of the total moment**: 0.00 μB/atom

=====

The following is a DFT calculation (GGA-PBE) of LaNbNi2 after structural relaxation.

CIF file:
```
data_LaNbNi2
_space_group_name_H-M_alt 'P 4/m m m'
_space_group_IT_number 123
_space_group_name_Hall '-P 4 2'
_cell_length_a 3.224
_cell_length_b 3.224
_cell_length_c 7.013
_cell_angle_alpha 90.00
_cell_angle_beta 90.00
_cell_angle_gamma 90.00
loop_
_atom_site_label
_atom_site_type_symbol
_atom_site_fract_x
_atom_site_fract_y
_atom_site_fract_z
_atom_site_occupancy
La1 La 0.000 0.000 0.000 1
Nb1 Nb 0.000 0.000 0.500 1
Ni1 Ni 0.500 0.500 0.318 1
```

Results
**DFT total energy**: -27.060 eV/cell
**E_form**: -0.125 eV/atom
**Relative energy among the computed polymorphs**: 0 meV/atom
**Size of the total moment**: 0.00 μB/atom

=====

The following is a DFT calculation (GGA-PBE) of K2PbO2 after structural relaxation.

CIF file:
```
data_K2PbO2
_space_group_name_H-M_alt 'C 1 2/m 1'
_space_group_IT_number 12
_space_group_name_Hall '-C 2y'
_cell_length_a 12.593
_cell_length_b 5.309
_cell_length_c 8.115
_cell_angle_alpha 90.00
_cell_angle_beta 96.81
_cell_angle_gamma 90.00
loop_
_atom_site_label
_atom_site_type_symbol
_atom_site_fract_x
_atom_site_fract_y
_atom_site_fract_z
_atom_site_occupancy
K1 K 0.030 0.000 0.247 1
K2 K 0.144 0.500 0.925 1
Pb1 Pb 0.234 0.500 0.364 1
O1 O 0.079 0.500 0.231 1
O2 O 0.174 0.000 0.837 1
```

Results
**DFT total energy**: -86.342 eV/cell
**Formation energy without anion corrections**: -1.153 eV per atom
**Relative energy among the computed polymorphs**: 118 meV/atom
**Size of the total moment**: 0.00 μB/atom

=====

The following is a DFT calculation (GGA-PBE) of Ba2MgScS after structural relaxation.

CIF file:
```
data_Ba2MgScS
_space_group_name_H-M_alt 'P 4/m m m'
_space_group_IT_number 123
_space_group_name_Hall '-P 4 2'
_cell_length_a 6.194
_cell_length_b 6.194
_cell_length_c 4.931
_cell_angle_alpha 90.00
_cell_angle_beta 90.00
_cell_angle_gamma 90.00
loop_
_atom_site_label
_atom_site_type_symbol
_atom_site_fract_x
_atom_site_fract_y
_atom_site_fract_z
_atom_site_occupancy
Ba1 Ba 0.000 0.500 0.000 1
Mg1 Mg 0.000 0.000 0.500 1
Sc1 Sc 0.500 0.500 0.500 1
S1 S 0.000 0.000 0.000 1
```

Results
**DFT total energy**: -17.436 eV/cell
**Formation energy without anion corrections**: -0.307 eV per atom
**Size of the total moment**: 0.18 μB/atom

=====

The following is a DFT calculation (GGA-PBE) of TlSn after structural relaxation.

CIF file:
```
data_TlSn
_space_group_name_H-M_alt 'P 4/m'
_space_group_IT_number 83
_space_group_name_Hall '-P 4'
_cell_length_a 11.840
_cell_length_b 11.840
_cell_length_c 3.724
_cell_angle_alpha 90.00
_cell_angle_beta 90.00
_cell_angle_gamma 90.00
loop_
_atom_site_label
_atom_site_type_symbol
_atom_site_fract_x
_atom_site_fract_y
_atom_site_fract_z
_atom_site_occupancy
Tl1 Tl 0.119 0.168 0.000 1
Tl2 Tl 0.335 0.624 0.500 1
Sn1 Sn 0.105 0.614 0.000 1
Sn2 Sn 0.110 0.401 0.500 1
```

Results
**DFT total energy**: -49.575 eV/cell
**E_form**: 0.086 eV/atom
**Size of the total moment**: 0.00 μB/atom

=====

The following is a DFT calculation (GGA-PBE) of MnMoRh2 after structural relaxation.

CIF file:
```
data_MnMoRh2
_space_group_name_H-M_alt 'P 4 m m'
_space_group_IT_number 99
_space_group_name_Hall 'P 4 -2'
_cell_length_a 2.702
_cell_length_b 2.702
_cell_length_c 7.627
_cell_angle_alpha 90.00
_cell_angle_beta 90.00
_cell_angle_gamma 90.00
loop_
_atom_site_label
_atom_site_type_symbol
_atom_site_fract_x
_atom_site_fract_y
_atom_site_fract_z
_atom_site_occupancy
Mn1 Mn 0.000 0.000 0.000 1
Mo1 Mo 0.500 0.500 0.255 1
Rh1 Rh 0.000 0.000 0.507 1
Rh2 Rh 0.500 0.500 0.777 1
```

Results
**DFT total energy**: -34.761 eV/cell
**E_form**: -0.014 eV/atom
**Relative energy among the computed polymorphs**: 146 meV/atom
**Size of the total moment**: 0.24 μB/atom

=====

The following is a DFT calculation (GGA-PBE) of CaMgCoSn2 after structural relaxation.

CIF file:
```
data_CaMgCoSn2
_space_group_name_H-M_alt 'P 4/m m m'
_space_group_IT_number 123
_space_group_name_Hall '-P 4 2'
_cell_length_a 4.949
_cell_length_b 4.949
_cell_length_c 4.844
_cell_angle_alpha 90.00
_cell_angle_beta 90.00
_cell_angle_gamma 90.00
loop_
_atom_site_label
_atom_site_type_symbol
_atom_site_fract_x
_atom_site_fract_y
_atom_site_fract_z
_atom_site_occupancy
Ca1 Ca 0.000 0.000 0.000 1
Mg1 Mg 0.500 0.500 0.000 1
Co1 Co 0.500 0.500 0.500 1
Sn1 Sn 0.000 0.500 0.500 1
```

Results
**DFT total energy**: -19.631 eV/cell
**E_form**: -0.185 eV/atom
**Size of the total moment**: 0.00 μB/atom

=====

The following is a DFT calculation (GGA-PBE) of RbLiTa3 after structural relaxation.

CIF file:
```
data_RbLiTa3
_space_group_name_H-M_alt 'P m -3 m'
_space_group_IT_number 221
_space_group_name_Hall '-P 4 2 3'
_cell_length_a 4.846
_cell_length_b 4.846
_cell_length_c 4.846
_cell_angle_alpha 90.00
_cell_angle_beta 90.00
_cell_angle_gamma 90.00
loop_
_atom_site_label
_atom_site_type_symbol
_atom_site_fract_x
_atom_site_fract_y
_atom_site_fract_z
_atom_site_occupancy
Rb1 Rb 0.000 0.000 0.000 1
Li1 Li 0.500 0.500 0.500 1
Ta1 Ta 0.000 0.000 0.500 1
```

Results
**DFT total energy**: -22.807 eV/cell
**E_form**: 3.126 eV/atom
**Relative energy among the computed polymorphs**: 1072 meV/atom
**Size of the total moment**: 0.00 μB/atom

=====

The following is a DFT calculation (GGA-PBE) of Zr8Se after structural relaxation.

CIF file:
```
data_Zr8Se
_space_group_name_H-M_alt 'I 4/m m m'
_space_group_IT_number 139
_space_group_name_Hall '-I 4 2'
_cell_length_a 10.172
_cell_length_b 10.172
_cell_length_c 3.873
_cell_angle_alpha 90.00
_cell_angle_beta 90.00
_cell_angle_gamma 90.00
loop_
_atom_site_label
_atom_site_type_symbol
_atom_site_fract_x
_atom_site_fract_y
_atom_site_fract_z
_atom_site_occupancy
Zr1 Zr 0.000 0.337 0.000 1
Zr2 Zr 0.167 0.167 0.500 1
Se1 Se 0.000 0.000 0.000 1
```

Results
**DFT total energy**: -146.289 eV/cell
**Formation energy without anion corrections**: -0.142 eV per atom
**Size of the total moment**: 0.00 μB/atom

=====

The following is a DFT calculation (GGA-PBE) of SrInGa after structural relaxation.

CIF file:
```
data_SrInGa
_space_group_name_H-M_alt 'C 1 2/m 1'
_space_group_IT_number 12
_space_group_name_Hall '-C 2y'
_cell_length_a 11.542
_cell_length_b 4.886
_cell_length_c 7.976
_cell_angle_alpha 90.00
_cell_angle_beta 133.14
_cell_angle_gamma 90.00
loop_
_atom_site_label
_atom_site_type_symbol
_atom_site_fract_x
_atom_site_fract_y
_atom_site_fract_z
_atom_site_occupancy
Sr1 Sr 0.050 0.000 0.302 1
In1 In 0.169 0.500 0.098 1
Ga1 Ga 0.152 0.500 0.706 1
```

Results
**DFT total energy**: -35.192 eV/cell
**E_form**: -0.450 eV/atom
**Size of the total moment**: 0.00 μB/atom